1.
The following is a PBE-GGA calculation of a relaxed LiRh2 crystal, from Alexandria.

```
6
Lattice="4.414 0.000 0.000 0.000 4.096 -2.305 0.000 -0.147 4.530" Properties=species:S:1:pos:R:3 pbc="T T T"
Rh 0.457 1.252 3.007
Rh 2.664 2.697 -0.782
Rh 2.664 3.969 1.478
Rh 0.457 -0.020 0.747
Li 0.455 2.651 0.732
Li 2.662 1.297 1.493
```

Summary:
The value obtained for the density of states at the Fermi level is 2.78 states/eV/f.u. The volume comes out at 80 Å³ per cell. As for the formation enthalpy at 0 K: -0.065 eV/atom. The raw total energy is -5.604 eV per atom.

=====

2.
The following is a PBE-GGA calculation of a relaxed PmMg4Sn5 crystal, from Alexandria.

```
10
Lattice="3.759 0.000 0.000 0.000 3.759 0.000 0.000 0.000 17.666" Properties=species:S:1:pos:R:3 pbc="T T T"
Sn 1.879 1.879 12.280
Sn 1.879 1.879 8.833
Sn 1.879 1.879 15.591
Sn 1.879 1.879 5.386
Sn 1.879 1.879 2.075
Mg 0.000 0.000 10.565
Mg 0.000 0.000 7.101
Mg 0.000 0.000 13.964
Mg 0.000 0.000 3.701
Pm 0.000 0.000 0.000
```

Summary:
The value obtained for the density of states at the Fermi level is 3.77 states/eV/f.u. The volume comes out at 250 Å³ per cell. As for the formation enthalpy at 0 K: -0.208 eV/atom. The raw total energy is -3.322 eV per atom.

=====

3.
The following is a PBE-GGA calculation of a relaxed LaErBr6 crystal, from Alexandria.

```
8
Lattice="7.170 0.009 0.009 3.577 6.214 0.014 3.574 2.066 6.585" Properties=species:S:1:pos:R:3 pbc="T T T"
Br 6.005 6.123 1.710
Br 8.317 2.167 4.899
Br 4.868 4.128 4.896
Br 9.454 4.162 1.713
Br 8.291 6.134 4.903
Br 6.031 2.155 1.705
Er 7.161 4.145 3.304
La 0.000 0.000 0.000
```

Summary:
The value obtained for the density of states at the Fermi level is 0.00 states/eV/f.u. The volume comes out at 293 Å³ per cell. As for the polymorph energy (0 for the lowest one): 0.014 eV/atom. The raw total energy is -4.319 eV per atom. The value obtained for the uncorrected formation energy is -1.878 eV/atom.

=====

4.
The following is a PBE-GGA calculation of a relaxed Cs4CeHo3Te8 crystal, from Alexandria.

```
16
Lattice="9.177 0.000 0.000 0.000 10.342 0.821 -4.589 -4.590 6.489" Properties=species:S:1:pos:R:3 pbc="T T T"
Te -2.234 2.754 6.771
Te 4.589 5.007 3.540
Te 6.822 2.997 0.538
Te 0.000 4.989 3.612
Te 0.000 0.745 3.769
Te 2.234 2.754 6.771
Te 4.589 0.763 3.697
Te 2.355 2.997 0.538
Cs -2.294 -2.295 3.244
Cs 0.000 0.000 0.000
Cs 4.589 0.000 0.000
Cs 2.294 -2.295 3.244
Ho 2.294 2.876 3.655
Ho 4.589 5.171 0.410
Ho -2.294 2.876 3.655
Ce 0.000 5.171 0.410
```

Summary:
The value obtained for the density of states at the Fermi level is 8.40 states/eV/f.u. The volume comes out at 650 Å³ per cell. The raw total energy is -4.377 eV per atom. The value obtained for the uncorrected formation energy is -1.364 eV/atom.

=====

5.
The following is a PBE-GGA calculation of a relaxed PmPr3Sb4 crystal, from Alexandria.

```
8
Lattice="-1.386 -4.310 -0.385 4.604 -2.020 6.049 -7.105 2.045 2.683" Properties=species:S:1:pos:R:3 pbc="T T T"
Pr -1.944 -2.143 4.174
Pr 2.302 -1.010 3.024
Pr -3.553 1.023 1.342
Sb -0.619 0.006 2.160
Sb -1.882 0.019 6.572
Sb -4.887 -1.121 3.328
Sb 1.000 -3.164 5.020
Pm -0.693 -2.155 -0.192
```

Summary:
The value obtained for the density of states at the Fermi level is 0.96 states/eV/f.u. The volume comes out at 265 Å³ per cell. As for the polymorph energy (0 for the lowest one): 0.004 eV/atom. The raw total energy is -5.638 eV per atom. The value obtained for the uncorrected formation energy is -1.191 eV/atom.

=====

6.
The following is a PBE-GGA calculation of a relaxed Ag2RhPb crystal, from Alexandria.

```
4
Lattice="-2.135 2.135 4.079 2.135 -2.135 4.079 2.135 2.135 -4.079" Properties=species:S:1:pos:R:3 pbc="T T T"
Ag 0.000 0.000 0.000
Ag 2.135 0.000 2.039
Rh 0.000 2.135 2.039
Pb 0.000 0.000 4.079
```

Summary:
The value obtained for the density of states at the Fermi level is 1.98 states/eV/f.u. The volume comes out at 74 Å³ per cell. As for the formation enthalpy at 0 K: 0.138 eV/atom. The raw total energy is -4.053 eV per atom.

=====

7.
The following is a PBE-GGA calculation of a relaxed RbPdI crystal, from Alexandria.

```
6
Lattice="5.798 0.000 0.000 0.000 10.169 0.000 2.899 5.084 3.832" Properties=species:S:1:pos:R:3 pbc="T T T"
Pd 4.349 2.542 1.916
Pd 1.450 2.542 1.916
I 5.798 7.627 0.278
I 2.899 7.627 3.555
Rb 2.899 0.000 0.000
Rb 2.899 5.084 0.000
```

Summary:
The value obtained for the density of states at the Fermi level is 0.00 states/eV/f.u. The volume comes out at 226 Å³ per cell. As for the polymorph energy (0 for the lowest one): 0.005 eV/atom. The raw total energy is -3.238 eV per atom. The value obtained for the uncorrected formation energy is -0.668 eV/atom.

=====

8.
The following is a PBE-GGA calculation of a relaxed Y2Al4Cu3Pd crystal, from Alexandria.

```
10
Lattice="-2.436 -3.029 -1.440 3.353 -2.200 -1.046 0.001 -4.433 9.321" Properties=species:S:1:pos:R:3 pbc="T T T"
Y -1.218 -2.611 1.586
Y 1.677 -4.436 6.492
Pd 0.459 -4.830 3.417
Cu 0.000 -2.216 4.661
Cu 1.677 -1.695 0.728
Cu -1.217 -5.352 7.350
Al -1.217 -4.317 5.173
Al 0.000 0.000 0.000
Al 0.459 -2.614 -1.243
Al 1.677 -2.730 2.905
```

Summary:
The value obtained for the density of states at the Fermi level is 6.05 states/eV/f.u. The volume comes out at 177 Å³ per cell. As for the formation enthalpy at 0 K: -0.531 eV/atom. The raw total energy is -5.069 eV per atom.

=====

9.
The following is a PBE-GGA calculation of a relaxed Zr3Cd2Ag4 crystal, from Alexandria.

```
18
Lattice="-2.678 -1.454 4.857 6.589 2.827 4.480 0.252 8.056 2.552" Properties=species:S:1:pos:R:3 pbc="T T T"
Ag 4.183 2.972 6.582
Ag -1.367 5.719 7.728
Ag 5.529 3.709 4.160
Ag 2.950 4.931 9.872
Ag 1.999 2.016 5.092
Ag -0.021 6.457 5.307
Ag 2.163 7.413 6.796
Ag 1.212 4.497 2.017
Zr -0.904 0.667 4.778
Zr 1.412 4.351 7.158
Zr 0.435 1.394 2.350
Zr 5.066 8.762 7.111
Zr 2.751 5.078 4.730
Zr 3.727 8.035 9.539
Cd 4.263 5.669 7.432
Cd 0.842 6.660 9.227
Cd 3.321 2.768 2.662
Cd -0.100 3.759 4.457
```

Summary:
The value obtained for the density of states at the Fermi level is 3.92 states/eV/f.u. The volume comes out at 354 Å³ per cell. As for the formation enthalpy at 0 K: -0.101 eV/atom. The raw total energy is -4.421 eV per atom.

=====

10.
The following is a PBE-GGA calculation of a relaxed AlIn2SiTc crystal, from Alexandria.

```
5
Lattice="-1.025 4.536 -1.918 -2.807 1.072 4.034 3.730 1.745 2.132" Properties=species:S:1:pos:R:3 pbc="T T T"
In -1.403 0.536 2.017
In -0.513 2.268 -0.959
Al -0.051 3.676 2.124
Si 0.000 0.000 0.000
Tc 1.865 0.872 1.066
```

Summary:
The value obtained for the density of states at the Fermi level is 3.99 states/eV/f.u. The volume comes out at 117 Å³ per cell. The raw total energy is -4.141 eV per atom. The value obtained for the uncorrected formation energy is 0.861 eV/atom.

=====

11.
The following is a PBE-GGA calculation of a relaxed ErSnHgPb crystal, from Alexandria.

```
4
Lattice="4.513 0.000 0.000 0.000 4.998 0.000 0.000 0.000 4.605" Properties=species:S:1:pos:R:3 pbc="T T T"
Hg 0.000 0.000 0.000
Pb 2.257 0.000 2.303
Er 0.000 2.499 2.303
Sn 2.257 2.499 0.000
```

Summary:
The value obtained for the density of states at the Fermi level is 1.72 states/eV/f.u. The volume comes out at 104 Å³ per cell. As for the formation enthalpy at 0 K: -0.332 eV/atom. As for the polymorph energy (0 for the lowest one): 0.000 eV/atom. The raw total energy is -3.476 eV per atom.

=====

12.
The following is a PBE-GGA calculation of a relaxed VZnCo2 crystal, from Alexandria.

```
4
Lattice="-0.126 1.356 -2.208 -1.046 -1.065 -2.122 -7.745 2.972 0.757" Properties=species:S:1:pos:R:3 pbc="T T T"
V -0.783 0.195 -2.888
Co -2.164 0.790 -0.913
Co -5.971 2.278 0.225
Zn -4.457 1.631 -1.783
```

Summary:
The value obtained for the density of states at the Fermi level is 3.58 states/eV/f.u. The volume comes out at 48 Å³ per cell. As for the formation enthalpy at 0 K: 0.009 eV/atom. The raw total energy is -6.142 eV per atom.